{"formula": "Th2BeNbN5", "functional": "PBE-GGA", "state": "optimized geometry", "lattice_angstrom": [[-2.628, 1.283, 1.543], [-2.722, -5.128, -3.916], [1.302, -6.533, 7.651]], "species": ["Th", "Th", "Th", "Th", "Be", "Be", "Nb", "Nb", "N", "N", "N", "N", "N", "N", "N", "N", "N", "N"], "frac_coords": [[0.874, 0.748, 0.834], [0.115, 0.231, 0.691], [0.126, 0.252, 0.334], [0.885, 0.769, 0.191], [0.551, 0.102, 0.935], [0.449, 0.898, 0.435], [0.812, 0.623, 0.521], [0.188, 0.377, 0.021], [0.345, 0.690, 0.016], [0.686, 0.372, 0.878], [0.498, 0.996, 0.781], [0.300, 0.600, 0.661], [0.962, 0.924, 0.507], [0.655, 0.310, 0.516], [0.314, 0.628, 0.378], [0.502, 0.004, 0.281], [0.700, 0.400, 0.161], [0.038, 0.076, 0.007]], "final_energy_ev_per_atom": -9.035}